First-principles (GGA-PBE) data for a relaxed CdCuGe3 crystal, as listed in Alexandria.

VASP energy = -3.35 eV per atom
distance to the lowest polymorph of the same formula = 0.00 eV per formula unit
DOS(E_F) = 3.06 states/eV/f.u.

a = 4.7704 Å, b = 4.7704 Å, c = 4.7704 Å
α = 90.00°, β = 90.00°, γ = 90.00°
Closest atoms and distances in Å follow each position.
Space group Pm-3m (No. 221)
Unique sites:
Cd (0.0000, 0.0000, 0.0000) (multiplicity 1)  12 Ge 3.37
Cu (0.5000, 0.5000, 0.5000) (multiplicity 1)  6 Ge 2.39
Ge (0.0000, 0.5000, 0.5000) (multiplicity 3)  2 Cu 2.39

First-principles (GGA-PBE) data for a relaxed GdPuCo crystal, as listed in Alexandria.

VASP energy = -11.72 eV per atom
distance to the lowest polymorph of the same formula = 0.23 eV per formula unit
DOS(E_F) = 9.38 states/eV/f.u.

a = 6.6165 Å, b = 6.6165 Å, c = 6.6165 Å
α = 90.00°, β = 90.00°, γ = 90.00°
Closest atoms and distances in Å follow each position.
Space group F-43m (No. 216)
Unique sites:
Gd (0.0000, 0.0000, 0.0000) (multiplicity 4)  4 Co 2.87
Pu (0.0000, 0.0000, 0.5000) (multiplicity 4)  4 Co 2.87
Co (0.2500, 0.2500, 0.7500) (multiplicity 4)  4 Gd 2.87, 4 Pu 2.87

First-principles (GGA-PBE) data for a relaxed LiErSn2 crystal, as listed in Alexandria.

VASP energy = -4.16 eV per atom
distance to the lowest polymorph of the same formula = 0.00 eV per formula unit
DOS(E_F) = 1.35 states/eV/f.u.

a = 4.6179 Å, b = 4.6179 Å, c = 4.3838 Å
α = 90.00°, β = 90.00°, γ = 90.00°
Closest atoms and distances in Å follow each position.
Space group P4/mmm (No. 123)
Unique sites:
Li (0.0000, 0.0000, 0.0000) (multiplicity 1)  8 Sn 3.18, 4 Er 3.27
Er (0.5000, 0.5000, 0.0000) (multiplicity 1)  8 Sn 3.18, 4 Li 3.27
Sn (0.0000, 0.5000, 0.5000) (multiplicity 2)  4 Er 3.18, 4 Li 3.18, 4 Sn 3.27

- Among the records above, which one has the highest distance to the lowest polymorph of the same formula?
  GdPuCo